Nb2VRuF | PBE with a Hubbard U | optimized geometry

Calculated values
Crystal system: tetragonal
Electronic total energy: -34.85 eV per formula unit
N(E_F): 4.14 states/eV/f.u.
Total magnetic moment: 0.108 μB per atom

POSCAR file:
```
Nb2VRuF
1.0
4.8389 0.0000 0.0000
0.0000 4.8389 0.0000
0.0000 0.0000 3.6380
Nb V Ru F
2 1 1 1
direct
0.0000 0.5000 0.0000
0.5000 0.0000 0.0000
0.0000 0.0000 0.0000
0.5000 0.5000 0.5000
0.0000 0.0000 0.5000
```